No. 1
PmIn4Pb | GGA-PBE | relaxed

Cell: 8.694 8.694 8.694 Å, 90.00 90.00 90.00°
Space group F-43m (No. 216)
Inequivalent atoms, fractional coordinates:
Pm 0.000 0.000 0.000 (multiplicity 4)
In 0.125 0.125 0.625 (multiplicity 16)
Pb 0.250 0.250 0.250 (multiplicity 4)

Results
crystal system	cubic
energy	-20.29	eV per formula unit
E_form	-0.15	eV per atom



No. 2
Pm7InPb4 | GGA-PBE | relaxed

Cell: 16.696 5.856 9.003 Å, 90.00 119.63 90.00°
Space group C2/m (No. 12)
Inequivalent atoms, fractional coordinates:
Pm 0.000 0.000 0.000 (multiplicity 2)
Pm 0.066 0.500 0.721 (multiplicity 4)
Pm 0.162 0.500 0.392 (multiplicity 4)
Pm 0.217 0.000 0.834 (multiplicity 4)
In 0.000 0.500 0.000 (multiplicity 2)
Pb 0.064 0.000 0.414 (multiplicity 4)
Pb 0.219 0.000 0.202 (multiplicity 4)

Results
crystal system	monoclinic
energy	-54.87	eV per formula unit
E_form	-0.34	eV per atom



No. 3
Pm3InPb2 | GGA-PBE | relaxed

Cell: 12.855 4.775 12.048 Å, 90.00 90.00 90.00°
Space group Pnma (No. 62)
Inequivalent atoms, fractional coordinates:
Pm 0.039 0.250 0.124 (multiplicity 4)
Pm 0.137 0.750 0.573 (multiplicity 4)
Pm 0.206 0.250 0.813 (multiplicity 4)
In 0.143 0.250 0.364 (multiplicity 4)
Pb 0.004 0.750 0.322 (multiplicity 4)
Pb 0.181 0.750 0.030 (multiplicity 4)

Results
crystal system	orthorhombic
energy	-27.18	eV per formula unit
energy above the lowest structure with this stoichiometry	0.182	eV per formula unit
E_form	-0.46	eV per atom



No. 4
Pm2InPb | GGA-PBE | relaxed

Cell: 3.9236 3.9236 28.5617 Å, 90.00 90.00 120.00°
Space group R-3m (No. 166, hexagonal axes)
Inequivalent atoms, fractional coordinates:
Pm 0.0000 0.0000 0.2494 (multiplicity 6)
In 0.0000 0.0000 0.5000 (multiplicity 3)
Pb 0.0000 0.0000 0.0000 (multiplicity 3)

Results
crystal system	trigonal
energy	-17.31	eV per formula unit
E_form	-0.34	eV per atom



No. 5
Pm2InPb2 | GGA-PBE | relaxed

Cell: 8.143 8.143 9.132 Å, 90.00 90.00 90.00°
Space group P4/mnc (No. 128)
Inequivalent atoms, fractional coordinates:
Pm 0.173 0.326 0.000 (multiplicity 8)
In 0.000 0.000 0.251 (multiplicity 4)
Pb 0.133 0.633 0.250 (multiplicity 8)

Results
crystal system	tetragonal
energy	-21.86	eV per formula unit
E_form	-0.44	eV per atom



No. 6
Pm12In6Pb | GGA-PBE | relaxed

Cell: 14.5077 14.5077 9.8769 Å, 90.00 90.00 120.00°
Space group R-3 (No. 148, hexagonal axes)
Inequivalent atoms, fractional coordinates:
Pm 0.0523 0.7939 0.4115 (multiplicity 18)
Pm 0.0560 0.8611 0.7580 (multiplicity 18)
In 0.0677 0.8300 0.0763 (multiplicity 18)
Pb 0.0000 0.0000 0.5000 (multiplicity 3)

Results
crystal system	trigonal
energy	-80.49	eV per formula unit
E_form	-0.18	eV per atom